1.
Here is a geometry-optimized NaMn2S4 structure from Alexandria via LeMat-Bulk. Energies are from GGA-PBE.

- total magnetization (μB/atom) = 1.000
- SG = Cmcm, No. 63
- density of states at the Fermi level (states/eV/f.u.) = 2.01
- DFT total energy (eV per cell) = -80.9

Unit cell a=3.547 b=6.152 c=11.968 alpha=90.00 beta=90.00 gamma=106.75
Each line ends with the local moment (μB).
Positions (direct):
Na  0.606  0.212  0.750  0.01
Na  0.394  0.788  0.250  0.01
Mn  0.137  0.275  0.432  3.40
Mn  0.863  0.725  0.932  3.40
Mn  0.137  0.275  0.068  3.40
Mn  0.863  0.725  0.568  3.40
S  0.766  0.533  0.106  -0.09
S  0.766  0.533  0.394  -0.09
S  0.234  0.467  0.894  -0.09
S  0.234  0.467  0.606  -0.09
S  0.930  0.860  0.750  -0.04
S  0.070  0.140  0.250  -0.04
S  0.500  0.000  0.000  -0.01
S  0.500  0.000  0.500  -0.01



2.
Here is a geometry-optimized Y2Cl2O structure from Alexandria via LeMat-Bulk. Energies are from GGA-PBE.

- total magnetization (μB/atom) = 0.000
- SG = P4/mbm, No. 127
- density of states at the Fermi level (states/eV/f.u.) = 2.07
- DFT total energy (eV per cell) = -55.0

Unit cell a=7.486 b=7.486 c=3.371 alpha=90.00 beta=90.00 gamma=90.00
Positions (direct):
Y  0.170  0.670  0.500
Y  0.670  0.830  0.500
Y  0.830  0.330  0.500
Y  0.330  0.170  0.500
O  0.000  0.000  0.000
O  0.500  0.500  0.000
Cl  0.368  0.868  0.000
Cl  0.868  0.632  0.000
Cl  0.632  0.132  0.000
Cl  0.132  0.368  0.000



Q: total magnetization of number 2 (Y2Cl2O)?
A: 0.000 μB/atom



Q: Which of these has the highest total magnetization?
A: NaMn2S4



Q: Which of these has the lowest DFT total energy?
A: NaMn2S4